Model P:
Material: RbMgICl2
Method: DFT, GGA-PBE
State: optimized geometry

```
RbMgICl2
1.0
5.100 0.000 0.000
0.000 5.100 0.000
0.000 0.000 5.922
I Cl Mg Rb
1 2 1 1
Cartesian
0.000 0.000 2.961 I
2.550 0.000 0.000 Cl
0.000 2.550 0.000 Cl
0.000 0.000 0.000 Mg
2.550 2.550 2.961 Rb
```

Calculated values
The total magnetization comes out at 0.000 μB/atom. Its calculated density is 3.32 Mg/m³. As for the density of states at the Fermi level: 0.000 states/eV/atom. The space group is P4/mmm.


Model Q:
Material: RbMgICl2
Method: DFT, GGA-PBE
State: optimized geometry

```
RbMgICl2
1.0
-2.979 0.240 3.431
2.890 -7.980 0.051
6.591 2.422 5.553
Cl I Rb Mg
4 2 2 2
Cartesian
6.843 0.132 5.933 Cl
2.661 -4.347 5.633 Cl
3.840 -0.971 3.402 Cl
-0.341 -5.450 3.102 Cl
0.204 0.467 3.162 I
6.297 -5.785 5.873 I
2.431 -3.790 2.376 Rb
4.071 -1.528 6.659 Rb
3.295 1.211 2.777 Mg
0.000 0.000 0.000 Mg
```

Calculated values
The total magnetization comes out at 0.000 μB/atom. Its calculated density is 3.07 Mg/m³. As for the density of states at the Fermi level: 0.000 states/eV/atom. The space group is Cmcm.


What should be chosen as the least stable of them? Choose model Q.


Model P:
Material: MgS2ICl
Method: DFT, GGA-PBE
State: optimized geometry

```
MgS2ICl
1.0
5.152 0.000 0.000
0.000 5.152 0.000
0.000 0.000 5.347
I S Mg Cl
1 2 1 1
Cartesian
0.000 0.000 0.000 I
2.576 0.000 0.000 S
0.000 2.576 0.000 S
2.576 2.576 2.674 Mg
0.000 0.000 2.674 Cl
```

Calculated values
The total magnetization comes out at 0.000 μB/atom. Its calculated density is 2.93 Mg/m³. As for the density of states at the Fermi level: 0.206 states/eV/atom. The space group is P4/mmm.


Model Q:
Material: MgS2ICl
Method: DFT, GGA-PBE
State: optimized geometry

```
MgS2ICl
1.0
5.038 0.000 0.000
0.000 5.038 0.000
0.000 0.000 4.638
I Mg S Cl
1 1 2 1
Cartesian
2.519 2.519 2.319 I
0.000 0.000 0.000 Mg
2.519 0.000 0.000 S
0.000 2.519 0.000 S
0.000 0.000 2.319 Cl
```

Calculated values
The total magnetization comes out at 0.000 μB/atom. Its calculated density is 3.54 Mg/m³. As for the density of states at the Fermi level: 0.903 states/eV/atom. The space group is P4/mmm.


What should be chosen as the least stable of them? Choose model P.


Model P:
Material: MgSb2ICl
Method: DFT, GGA-PBE
State: optimized geometry

```
MgSb2ICl
1.0
-4.794 -1.446 2.236
0.894 -5.211 -1.454
2.513 -0.909 4.801
Mg I Sb Cl
1 1 2 1
Cartesian
0.000 0.000 0.000 Mg
1.257 -0.454 2.401 I
-2.397 -0.723 1.118 Sb
0.447 -2.606 -0.727 Sb
-0.693 -3.783 2.792 Cl
```

Calculated values
The total magnetization comes out at 0.000 μB/atom. Its calculated density is 4.32 Mg/m³. As for the density of states at the Fermi level: 0.672 states/eV/atom. The space group is P4/mmm.


Model Q:
Material: MgSb2ICl
Method: DFT, GGA-PBE
State: optimized geometry

```
MgSb2ICl
1.0
-2.169 4.659 -0.187
-4.518 -2.150 -1.190
-1.545 -0.451 6.680
I Sb Cl Mg
1 2 1 1
Cartesian
-0.772 -0.225 3.340 I
-1.084 2.330 -0.094 Sb
-2.259 -1.075 -0.595 Sb
0.000 0.000 0.000 Cl
-4.116 1.029 2.652 Mg
```

Calculated values
The total magnetization comes out at 0.137 μB/atom. Its calculated density is 3.93 Mg/m³. As for the density of states at the Fermi level: 0.860 states/eV/atom. The space group is P4/mmm.


What should be chosen as the least stable of them? Choose model Q.